Entry 1:
Computed, not measured: a geometry-optimized InIF2 structure at the GGA-PBE level of DFT.

Properties
E_tot	-41.10	eV per cell
N(E_F)	5.86	states/eV/cell
raw formation energy	-1.417	eV/atom

Lattice parameters (Å, degrees): 3.6144 3.6144 28.6851 90.00 90.00 120.00
Space group R-3m (No. 166, hexagonal axes)
Asymmetric unit:
In (0.0000, 0.0000, 0.0000) [3 per cell]
I (0.0000, 0.0000, 0.5000) [3 per cell]
F (0.0000, 0.0000, 0.3676) [6 per cell]



Entry 2:
Computed, not measured: a geometry-optimized InIF structure at the GGA-PBE level of DFT.

Properties
E_tot	-18.16	eV per cell
N(E_F)	3.46	states/eV/cell
raw formation energy	-0.974	eV/atom

Lattice parameters (Å, degrees): 4.462 4.462 8.381 90.00 90.00 90.00
Space group I4mm (No. 107)
Asymmetric unit:
In (0.000, 0.000, 0.000) [2 per cell]
I (0.000, 0.000, 0.401) [2 per cell]
F (0.000, 0.000, 0.751) [2 per cell]



Entry 3:
Computed, not measured: a geometry-optimized In3IF structure at the GGA-PBE level of DFT.

Properties
E_tot	-14.77	eV per cell
N(E_F)	2.53	states/eV/cell
raw formation energy	-0.627	eV/atom

Lattice parameters (Å, degrees): 5.360 5.360 5.360 90.00 90.00 90.00
Space group Pm-3m (No. 221)
Asymmetric unit:
In (0.000, 0.000, 0.500) [3 per cell]
I (0.500, 0.500, 0.500) [1 per cell]
F (0.000, 0.000, 0.000) [1 per cell]



Entry 4:
Computed, not measured: a geometry-optimized In2IF structure at the GGA-PBE level of DFT.

Properties
E_tot	-38.33	eV per cell
N(E_F)	0.25	states/eV/cell
raw formation energy	-0.969	eV/atom

Lattice parameters (Å, degrees): 4.4975 4.4975 20.4068 90.00 90.00 120.00
Space group R-3m (No. 166, hexagonal axes)
Asymmetric unit:
In (0.0000, 0.0000, 0.2231) [6 per cell]
I (0.0000, 0.0000, 0.0000) [3 per cell]
F (0.0000, 0.0000, 0.5000) [3 per cell]